DFT (PBE+U) results for an optimized crystal structure of Li7Mn2Co3O12.

Results
The calculation puts the energy above the most stable polymorph in this dataset at 35 meV/atom.

Cell lengths 2.8784, 5.1631, 14.3436 Å; angles 91.04, 90.04, 89.96 degrees
Positions (direct):
Mn (0.0006, 0.0128, 0.9984)
O (0.9990, 0.6681, 0.5671)
Co (0.9983, 0.6588, 0.3319)
Li (0.9996, 0.0164, 0.5042)
O (0.4996, 0.2193, 0.5744)
O (0.0045, 0.9532, 0.2511)
Li (0.0005, 0.6684, 0.8262)
O (0.4982, 0.8040, 0.4087)
Li (0.9995, 0.3483, 0.1625)
O (0.5002, 0.4899, 0.7450)
Co (0.0000, 0.2995, 0.6805)
Li (0.5009, 0.1711, 0.8362)
Li (0.5003, 0.8144, 0.6776)
O (0.9988, 0.3671, 0.4179)
Mn (0.4989, 0.5127, 0.4979)
Li (0.4996, 0.1595, 0.3297)
O (0.5015, 0.1512, 0.0813)
O (0.0004, 0.0043, 0.7418)
O (0.9966, 0.7025, 0.0907)
O (0.4986, 0.5077, 0.2582)
Li (0.5028, 0.4936, 0.9915)
O (0.5008, 0.8482, 0.9305)
Co (0.4992, 0.8287, 0.1692)
O (0.0017, 0.3004, 0.9276)